No. 1
This record from the Alexandria database describes a relaxed structure of MnCr2Se. The functional is GGA-PBE.

The structure belongs to space group F-43m (No. 216); the cell edges are 5.822, 5.822 and 5.822 Å and the angles 90.00°, 90.00° and 90.00°. The asymmetric unit holds Mn at (0.000, 0.000, 0.000), Cr at (0.000, 0.000, 0.500), Cr at (0.250, 0.250, 0.750) and Se at (0.250, 0.250, 0.250).

As for the uncorrected formation energy: 0.304 eV per atom.

***

No. 2
This record from the Alexandria database describes a relaxed structure of YMgZnPb. The functional is GGA-PBE.

The structure belongs to space group Pmmm (No. 47); the cell edges are 4.335, 4.619 and 4.685 Å and the angles 90.00°, 90.00° and 90.00°. The asymmetric unit holds Y at (0.000, 0.000, 0.000), Mg at (0.000, 0.500, 0.500), Zn at (0.500, 0.000, 0.500) and Pb at (0.500, 0.500, 0.000).

The value obtained for the formation energy from the elements is -0.3130 eV per atom. The value obtained for the distance to the lowest polymorph of the same formula is 0 meV per atom.

***

No. 3
This record from the Alexandria database describes a relaxed structure of Pm7BBr12. The functional is GGA-PBE.

The structure belongs to space group R-3 (No. 148, hexagonal axes); the cell edges are 14.9551, 14.9551 and 10.1025 Å and the angles 90.00°, 90.00° and 120.00°. The asymmetric unit holds Pm at (0.0000, 0.0000, 0.0000), Pm at (0.0441, 0.1617, 0.3496), B at (0.0000, 0.0000, 0.5000), Br at (0.0241, 0.5869, 0.1640) and Br at (0.0500, 0.1826, 0.8388).

As for the uncorrected formation energy: -1.605 eV per atom.

***

No. 4
This record from the Alexandria database describes a relaxed structure of LiZn3. The functional is GGA-PBE.

The structure belongs to space group P6_3/mmc (No. 194); the cell edges are 5.5403, 5.5403 and 4.3343 Å and the angles 90.00°, 90.00° and 120.00°. The asymmetric unit holds Li at (0.3333, 0.6667, 0.2500) and Zn at (0.1679, 0.3358, 0.7500).

The value obtained for the formation energy from the elements is -0.1628 eV per atom.

***

No. 5
This record from the Alexandria database describes a relaxed structure of Sr3PdF. The functional is GGA-PBE.

The structure belongs to space group Pm-3m (No. 221); the cell edges are 5.231, 5.231 and 5.231 Å and the angles 90.00°, 90.00° and 90.00°. The asymmetric unit holds Sr at (0.000, 0.000, 0.500), Pd at (0.500, 0.500, 0.500) and F at (0.000, 0.000, 0.000).

As for the uncorrected formation energy: -1.123 eV per atom. The value obtained for the distance to the lowest polymorph of the same formula is 0 meV per atom.

***

No. 6
This record from the Alexandria database describes a relaxed structure of Mg3In3AgPd2. The functional is GGA-PBE.

The structure belongs to space group P-62m (No. 189); the cell edges are 7.9135, 7.9135 and 3.2581 Å and the angles 90.00°, 90.00° and 120.00°. The asymmetric unit holds Mg at (0.0000, 0.3816, 0.0000), In at (0.0000, 0.7007, 0.5000), Ag at (0.0000, 0.0000, 0.0000) and Pd at (0.3333, 0.6667, 0.5000).

The value obtained for the formation energy from the elements is -0.3561 eV per atom.

***

Which N(E_F) belongs to each record? In order, 0.778 0.375 0.627 0.218 0.536 0.396 states/eV/atom.
Which mass density belongs to each record? In order, 8.0 6.8 5.1 5.9 4.5 6.9 Mg/m³.